First-principles (GGA-PBEsol) data for Al2TeW after structural relaxation, as listed in the Alexandria database.

Output
The density of states at the Fermi level comes out at 2.182 states/eV/f.u. The symmetry is No. 123. Its uncorrected formation energy is 0.465 eV/atom. The total energy comes out at -5.914 eV/atom.

a b c (Å): 4.592 4.592 3.320
angles (deg): 90.00 90.00 90.00
Element x y z (fractional)
Al: 0.000 0.500 0.000
Al: 0.500 0.000 0.000
Te: 0.000 0.000 0.500
W: 0.500 0.500 0.500

***

First-principles (GGA-PBEsol) data for YAlTe after structural relaxation, as listed in the Alexandria database.

Output
The density of states at the Fermi level comes out at 3.720 states/eV/f.u. The symmetry is No. 156. Its uncorrected formation energy is -0.351 eV/atom. The total energy comes out at -5.164 eV/atom.

a b c (Å): 3.809 3.809 6.321
angles (deg): 90.00 90.00 120.00
Element x y z (fractional)
Y: 0.000 0.000 0.000
Al: 0.333 0.667 0.640
Te: 0.667 0.333 0.339

***

First-principles (GGA-PBEsol) data for YAlTe2 after structural relaxation, as listed in the Alexandria database.

Output
The density of states at the Fermi level comes out at 0.656 states/eV/f.u. The symmetry is No. 160. Its uncorrected formation energy is -0.615 eV/atom. The total energy comes out at -5.106 eV/atom.

a b c (Å): 8.242 8.242 8.242
angles (deg): 29.35 29.35 29.35
Element x y z (fractional)
Y: 0.000 0.000 0.000
Al: 0.250 0.250 0.250
Te: 0.529 0.529 0.529
Te: 0.740 0.740 0.740